[1]
This record from Alexandria describes an optimized crystal structure of MgWS3. The functional is PBE-GGA.

Properties
The value obtained for the density of states at the Fermi level is 0.604 states/eV per atom. For the total energy, the calculation gives -27.7 eV/cell. The value obtained for the magnetization is 0.00 μB per cell.

Lattice parameters (Å, degrees): 4.705 4.705 4.705 90.00 90.00 90.00
Fractional coordinates of all 5 atoms:
1 Mg 0.500 0.500 0.500
2 W 0.000 0.000 0.000
3 S 0.000 0.500 0.000
4 S 0.500 0.000 0.000
5 S 0.000 0.000 0.500

=====

[2]
This record from Alexandria describes an optimized crystal structure of CaErScIn. The functional is PBE-GGA.

Properties
The value obtained for the density of states at the Fermi level is 1.045 states/eV per atom. The value obtained for the magnetization is 0.01 μB per cell. The formation energy comes out at -91 meV per atom.

Lattice parameters (Å, degrees): 5.345 5.345 5.345 60.00 60.00 60.00
Fractional coordinates of all 4 atoms:
1 In 0.000 0.000 0.000
2 Sc 0.750 0.750 0.750
3 Ca 0.500 0.500 0.500
4 Er 0.250 0.250 0.250

=====

[3]
This record from Alexandria describes an optimized crystal structure of Dy3Y4Tm8. The functional is PBE-GGA.

Properties
The value obtained for the density of states at the Fermi level is 1.522 states/eV per atom. The value obtained for the magnetization is 0.01 μB per cell. The formation energy comes out at 135 meV per atom.

Lattice parameters (Å, degrees): 6.862 6.862 12.311 73.82 73.82 60.00
Fractional coordinates of all 15 atoms:
1 Y 0.664 0.664 0.009
2 Tm 0.755 0.755 0.734
3 Y 0.336 0.336 0.991
4 Tm 0.249 0.249 0.749
5 Dy 0.500 0.000 0.500
6 Tm 0.248 0.751 0.251
7 Dy 0.000 0.000 0.500
8 Tm 0.751 0.248 0.251
9 Dy 0.000 0.500 0.500
10 Y 0.500 0.500 0.500
11 Tm 0.245 0.245 0.266
12 Y 0.000 0.000 0.000
13 Tm 0.752 0.249 0.749
14 Tm 0.751 0.751 0.251
15 Tm 0.249 0.752 0.749

=====

[4]
This record from Alexandria describes an optimized crystal structure of CsNb3N. The functional is PBE-GGA.

Properties
The value obtained for the density of states at the Fermi level is 0.702 states/eV per atom. For the total energy, the calculation gives -35.3 eV/cell. The value obtained for the magnetization is 0.00 μB per cell.

Lattice parameters (Å, degrees): 4.470 4.470 4.470 90.00 90.00 90.00
Fractional coordinates of all 5 atoms:
1 Nb 0.500 0.000 0.000
2 N 0.000 0.000 0.000
3 Nb 0.000 0.000 0.500
4 Nb 0.000 0.500 0.000
5 Cs 0.500 0.500 0.500